No. 1
16
Lattice="7.633 0.000 0.000 0.000 7.633 0.000 0.000 0.000 7.633" Properties=species:S:1:pos:R:3 comment="EuCdInSn PBE optimized geometry" space_group="F-43m, No. 216" pbc="T T T"
Eu 0.000 0.000 0.000
Eu 0.000 3.817 3.817
Eu 3.817 0.000 3.817
Eu 3.817 3.817 0.000
Cd 1.908 1.908 1.908
Cd 1.908 5.725 5.725
Cd 5.725 1.908 5.725
Cd 5.725 5.725 1.908
In 0.000 0.000 3.817
In 0.000 3.817 0.000
In 3.817 0.000 0.000
In 3.817 3.817 3.817
Sn 1.908 1.908 5.725
Sn 1.908 5.725 1.908
Sn 5.725 1.908 1.908
Sn 5.725 5.725 5.725

=====

No. 2
16
Lattice="7.578 0.000 0.000 0.000 7.578 0.000 0.000 0.000 7.578" Properties=species:S:1:pos:R:3 comment="EuTlCdIn PBE optimized geometry" space_group="F-43m, No. 216" pbc="T T T"
Eu 0.000 0.000 0.000
Eu 0.000 3.789 3.789
Eu 3.789 0.000 3.789
Eu 3.789 3.789 0.000
Tl 1.894 1.894 5.683
Tl 1.894 5.683 1.894
Tl 5.683 1.894 1.894
Tl 5.683 5.683 5.683
Cd 0.000 0.000 3.789
Cd 0.000 3.789 0.000
Cd 3.789 0.000 0.000
Cd 3.789 3.789 3.789
In 1.894 1.894 1.894
In 1.894 5.683 5.683
In 5.683 1.894 5.683
In 5.683 5.683 1.894

=====

No. 3
16
Lattice="7.637 0.000 0.000 0.000 7.637 0.000 0.000 0.000 7.637" Properties=species:S:1:pos:R:3 comment="EuTmCdIn PBE optimized geometry" space_group="F-43m, No. 216" pbc="T T T"
Eu 0.000 0.000 0.000
Eu 0.000 3.818 3.818
Eu 3.818 0.000 3.818
Eu 3.818 3.818 0.000
Tm 0.000 0.000 3.818
Tm 0.000 3.818 0.000
Tm 3.818 0.000 0.000
Tm 3.818 3.818 3.818
Cd 1.909 1.909 5.728
Cd 1.909 5.728 1.909
Cd 5.728 1.909 1.909
Cd 5.728 5.728 5.728
In 1.909 1.909 1.909
In 1.909 5.728 5.728
In 5.728 1.909 5.728
In 5.728 5.728 1.909

=====

No. 4
16
Lattice="7.688 0.000 0.000 0.000 7.688 0.000 0.000 0.000 7.688" Properties=species:S:1:pos:R:3 comment="EuYCdIn PBE optimized geometry" space_group="F-43m, No. 216" pbc="T T T"
Eu 0.000 0.000 0.000
Eu 0.000 3.844 3.844
Eu 3.844 0.000 3.844
Eu 3.844 3.844 0.000
Y 0.000 0.000 3.844
Y 0.000 3.844 0.000
Y 3.844 0.000 0.000
Y 3.844 3.844 3.844
Cd 1.922 1.922 1.922
Cd 1.922 5.766 5.766
Cd 5.766 1.922 5.766
Cd 5.766 5.766 1.922
In 1.922 1.922 5.766
In 1.922 5.766 1.922
In 5.766 1.922 1.922
In 5.766 5.766 5.766

=====

No. 5
16
Lattice="7.350 0.000 0.000 0.000 7.350 0.000 0.000 0.000 7.350" Properties=species:S:1:pos:R:3 comment="Eu2CdIr PBE optimized geometry" e_above_lowest_polymorph_ev_per_fu=0.22 space_group="Fm-3m, No. 225" pbc="T T T"
Eu 1.837 1.837 1.837
Eu 1.837 1.837 5.512
Eu 1.837 5.512 1.837
Eu 1.837 5.512 5.512
Eu 5.512 1.837 1.837
Eu 5.512 1.837 5.512
Eu 5.512 5.512 1.837
Eu 5.512 5.512 5.512
Cd 0.000 0.000 0.000
Cd 0.000 3.675 3.675
Cd 3.675 0.000 3.675
Cd 3.675 3.675 0.000
Ir 0.000 0.000 3.675
Ir 0.000 3.675 0.000
Ir 3.675 0.000 0.000
Ir 3.675 3.675 3.675

=====

No. 6
12
Lattice="4.104 0.000 0.000 -2.052 3.554 0.000 0.000 0.000 30.124" Properties=species:S:1:pos:R:3 comment="Eu2CdIr PBE optimized geometry" e_above_lowest_polymorph_ev_per_fu=1.14 space_group="R-3m, No. 166" pbc="T T T"
Eu 0.000 0.000 3.447
Eu 0.000 0.000 26.676
Eu 0.000 2.370 16.635
Eu 0.000 2.370 23.530
Eu 2.052 1.185 6.594
Eu 2.052 1.185 13.488
Cd 0.000 0.000 0.000
Cd 0.000 2.370 20.082
Cd 2.052 1.185 10.041
Ir 0.000 0.000 15.062
Ir 0.000 2.370 5.021
Ir 2.052 1.185 25.103

=====

No. 7
4
Lattice="3.601 0.000 0.000 0.000 3.601 0.000 0.000 0.000 7.965" Properties=species:S:1:pos:R:3 comment="Eu2CdIr PBE optimized geometry" e_above_lowest_polymorph_ev_per_fu=0.00 space_group="P4/mmm, No. 123" pbc="T T T"
Eu 0.000 0.000 1.668
Eu 0.000 0.000 6.296
Cd 1.801 1.801 3.982
Ir 1.801 1.801 0.000

=====

No. 8
5
Lattice="5.208 0.000 0.000 0.000 5.208 0.000 0.000 0.000 5.208" Properties=species:S:1:pos:R:3 comment="EuCd3Ir PBE optimized geometry" space_group="Pm-3m, No. 221" pbc="T T T"
Eu 0.000 0.000 0.000
Cd 0.000 2.604 2.604
Cd 2.604 0.000 2.604
Cd 2.604 2.604 0.000
Ir 2.604 2.604 2.604

=====

We obtain E values of -4.748; -4.358; -4.977; -5.507; -7.850; -7.621; -7.905; -4.418 eV per atom for the records listed above, in that order.